First-principles (GGA-PBE) data for crystalline LiTm3Cd2 at its relaxed geometry, as listed in Alexandria.

abc: 3.707 3.707 10.954
angles: 90.00 90.00 90.00
Space group P4/mmm (No. 123)
Unique sites:
1 Li 0.000 0.000 0.000 x1
2 Tm 0.500 0.500 0.166 x2
3 Tm 0.500 0.500 0.500 x1
4 Cd 0.000 0.000 0.330 x2

Computed properties:
The value obtained for the energy above the lowest structure with this stoichiometry is 13 meV/atom. The calculation puts the formation energy from the elements at -0.159 eV per atom. Its crystal system is tetragonal.


First-principles (GGA-PBE) data for crystalline GeOs2PdS at its relaxed geometry, as listed in Alexandria.

abc: 4.368 4.368 4.593
angles: 90.00 90.00 90.00
Space group P4/mmm (No. 123)
Unique sites:
1 Ge 0.000 0.000 0.000 x1
2 Os 0.000 0.500 0.500 x2
3 Pd 0.500 0.500 0.000 x1
4 S 0.500 0.500 0.500 x1

Computed properties:
Its crystal system is tetragonal. The value obtained for the raw formation energy is 0.920 eV per atom.


First-principles (GGA-PBE) data for crystalline DyLuHf2 at its relaxed geometry, as listed in Alexandria.

abc: 4.643 4.643 4.728
angles: 90.00 90.00 90.00
Space group P4/mmm (No. 123)
Unique sites:
1 Dy 0.000 0.000 0.000 x1
2 Lu 0.500 0.500 0.000 x1
3 Hf 0.000 0.500 0.500 x2

Computed properties:
The value obtained for the energy above the lowest structure with this stoichiometry is 3 meV/atom. The calculation puts the formation energy from the elements at 0.169 eV per atom. Its crystal system is tetragonal.


First-principles (GGA-PBE) data for crystalline SrPtC3 at its relaxed geometry, as listed in Alexandria.

abc: 4.449 4.449 4.449
angles: 90.00 90.00 90.00
Space group Pm-3m (No. 221)
Unique sites:
1 Sr 0.000 0.000 0.000 x1
2 Pt 0.500 0.500 0.500 x1
3 C 0.000 0.000 0.500 x3

Computed properties:
The value obtained for the energy above the lowest structure with this stoichiometry is 2037 meV/atom. The calculation puts the formation energy from the elements at 3.831 eV per atom. Its crystal system is cubic.


no.,total magnetization (μB per atom),V (Å³/cell),uncorrected energy (eV/atom)
1,0.000,151,-3.019
2,0.000,88,-6.359
3,0.000,102,-7.088
4,0.000,88,-3.248